<P>
DFT (GGA-PBE) results for a relaxed structure of GaGe2O.

Output
The crystal system is cubic. For the calculated density, the calculation gives 6.228 g cm⁻³. For the volume, the calculation gives 15.4 Å³ per atom.

abc: 6.269 6.269 6.269
angles: 90.00 90.00 90.00
Space group Fm-3m (No. 225)
Asymmetric unit:
Ga (0.000, 0.000, 0.000) x4
Ge (0.250, 0.250, 0.250) x8
O (0.000, 0.000, 0.500) x4



<Q>
DFT (GGA-PBE) results for a relaxed structure of GaGe2O.

Output
The crystal system is tetragonal. For the calculated density, the calculation gives 5.116 g cm⁻³. For the volume, the calculation gives 18.7 Å³ per atom.

abc: 5.047 5.047 11.776
angles: 90.00 90.00 90.00
Space group I-42d (No. 122)
Asymmetric unit:
Ga (0.000, 0.000, 0.000) x4
Ge (0.177, 0.250, 0.625) x8
O (0.000, 0.000, 0.500) x4



Which one sits at the top of the stability order? <Q> does.